(1)
4
Lattice="-1.690 2.904 5.071 1.690 -2.904 5.071 1.690 2.904 -5.071" Properties=species:S:1:pos:R:3 comment="KZr2Ru | the Alexandria database | PBE | relaxed" ef_kj_per_mol_atoms=48.93 relative_energy_ev_per_atom=0.361 dft_energy_ev_per_cell=-25.44 volume_a3_per_atom=24.89 sg="Immm, No. 71" rho_g_cm3=5.38 pbc="T T T"
K 0.000 0.000 0.000
Zr 1.690 0.000 3.111
Zr 0.000 2.904 1.960
Ru 0.000 0.000 5.071

(2)
3
Lattice="3.935 0.000 0.000 -1.968 3.408 0.000 0.000 0.000 7.297" Properties=species:S:1:pos:R:3 comment="CrTeI | the Alexandria database | PBE | relaxed" e_form_raw_ev_per_atom=-0.30 dft_energy_ev_per_cell=-15.21 volume_a3_per_atom=32.62 sg="P3m1, No. 156" rho_g_cm3=5.20 pbc="T T T"
Cr 0.000 0.000 0.000
Te 1.968 1.136 5.822
I 0.000 2.272 1.685